Compound: LiSiS3
Source: Alexandria via LeMat-Bulk
Functional: PBE
Structure: relaxed

Calculated values
- space group = Pm-3m (221)
- E_tot (eV per atom) = -4.074
- excess energy over the best structure of this formula in the dataset (meV per atom) = 645.5

a = 4.5553 Å, b = 4.5553 Å, c = 4.5553 Å
α = 90.00°, β = 90.00°, γ = 90.00°
Element x y z (fractional)
Li1 0.0000 0.0000 0.0000
Si1 0.5000 0.5000 0.5000
S1 0.0000 0.5000 0.5000
S2 0.5000 0.0000 0.5000
S3 0.5000 0.5000 0.0000

=====

Compound: LiSiS3
Source: Alexandria via LeMat-Bulk
Functional: PBE
Structure: relaxed

Calculated values
- space group = P2_1/c (14)
- E_tot (eV per atom) = -4.719
- excess energy over the best structure of this formula in the dataset (meV per atom) = 0.0

a = 6.2620 Å, b = 7.1774 Å, c = 11.4416 Å
α = 90.00°, β = 109.94°, γ = 90.00°
Element x y z (fractional)
Li1 0.1893 0.0488 0.2507
Li2 0.1893 0.4512 0.7507
Li3 0.8107 0.5488 0.2493
Li4 0.8107 0.9512 0.7493
Si1 0.3774 0.6667 0.4437
Si2 0.3774 0.8333 0.9437
Si3 0.6226 0.1667 0.0563
Si4 0.6226 0.3333 0.5563
S1 0.1581 0.7152 0.2669
S2 0.1581 0.7848 0.7669
S3 0.2912 0.0573 0.0465
S4 0.2912 0.4427 0.5465
S5 0.4385 0.5805 0.0604
S6 0.4385 0.9195 0.5604
S7 0.5615 0.0805 0.4396
S8 0.5615 0.4195 0.9396
S9 0.7088 0.5573 0.4535
S10 0.7088 0.9427 0.9535
S11 0.8419 0.2152 0.2331
S12 0.8419 0.2848 0.7331

=====

Compound: LiSiS3
Source: Alexandria via LeMat-Bulk
Functional: PBE
Structure: relaxed

Calculated values
- space group = P6_322 (182)
- E_tot (eV per atom) = -4.450
- excess energy over the best structure of this formula in the dataset (meV per atom) = 268.6

a = 6.0991 Å, b = 6.0991 Å, c = 5.7962 Å
α = 90.00°, β = 90.00°, γ = 120.00°
Element x y z (fractional)
Li1 0.3333 0.6667 0.2500
Li2 0.6667 0.3333 0.7500
Si1 0.0000 0.0000 0.2500
Si2 0.0000 0.0000 0.7500
S1 0.0000 0.2913 0.5000
S2 0.0000 0.7087 0.0000
S3 0.2913 0.0000 0.5000
S4 0.2913 0.2913 0.0000
S5 0.7087 0.0000 0.0000
S6 0.7087 0.7087 0.5000

=====

Compound: Li4SiS4
Source: Alexandria via LeMat-Bulk
Functional: PBE
Structure: relaxed

Calculated values
- space group = I-42m (121)
- E_tot (eV per atom) = -4.424
- excess energy over the best structure of this formula in the dataset (meV per atom) = 12.7

a = 6.6841 Å, b = 6.6841 Å, c = 6.6841 Å
α = 128.01°, β = 128.01°, γ = 76.61°
Element x y z (fractional)
Li1 0.0000 0.5000 0.5000
Li2 0.2118 0.2118 0.0000
Li3 0.5000 0.0000 0.5000
Li4 0.7882 0.7882 0.0000
Si1 0.5000 0.5000 0.0000
S1 0.1710 0.5877 0.0000
S2 0.4123 0.4123 0.5833
S3 0.5877 0.1710 0.0000
S4 0.8290 0.8290 0.4167

=====

Compound: Li4SiS4
Source: Alexandria via LeMat-Bulk
Functional: PBE
Structure: relaxed

Calculated values
- space group = Cmcm (63)
- E_tot (eV per atom) = -4.437
- excess energy over the best structure of this formula in the dataset (meV per atom) = 0.0

a = 6.5841 Å, b = 6.5841 Å, c = 7.6569 Å
α = 90.00°, β = 90.00°, γ = 88.14°
Element x y z (fractional)
Li1 0.0749 0.6160 0.7500
Li2 0.3322 0.3322 0.0000
Li3 0.3322 0.3322 0.5000
Li4 0.3840 0.9251 0.7500
Li5 0.6160 0.0749 0.2500
Li6 0.6678 0.6678 0.0000
Li7 0.6678 0.6678 0.5000
Li8 0.9251 0.3840 0.2500
Si1 0.1646 0.8354 0.2500
Si2 0.8354 0.1646 0.7500
S1 0.1513 0.2293 0.7500
S2 0.2293 0.1513 0.2500
S3 0.2969 0.7031 0.0172
S4 0.2969 0.7031 0.4828
S5 0.7031 0.2969 0.5172
S6 0.7031 0.2969 0.9828
S7 0.7707 0.8487 0.7500
S8 0.8487 0.7707 0.2500

=====

Compound: LiSi2S
Source: Alexandria via LeMat-Bulk
Functional: PBE
Structure: relaxed

Calculated values
- space group = I-42d (122)
- E_tot (eV per atom) = -4.090

a = 5.8062 Å, b = 5.8062 Å, c = 5.8062 Å
α = 100.07°, β = 100.07°, γ = 130.55°
Element x y z (fractional)
Li1 0.0000 0.0000 0.0000
Li2 0.7500 0.2500 0.5000
Si1 0.1596 0.6250 0.0346
Si2 0.3750 0.4096 0.5346
Si3 0.5904 0.1250 0.9654
Si4 0.8750 0.8404 0.4654
S1 0.2500 0.7500 0.5000
S2 0.5000 0.5000 0.0000

=====

Compound: Li3Sm3SiS8
Source: Alexandria via LeMat-Bulk
Functional: PBE
Structure: relaxed

Calculated values
- space group = R-3m (166)
- E_tot (eV per atom) = -5.378

a = 7.6010 Å, b = 7.6010 Å, c = 7.6010 Å
α = 62.23°, β = 62.23°, γ = 62.23°
Element x y z (fractional)
Li1 0.0000 0.5000 0.5000
Li2 0.5000 0.0000 0.5000
Li3 0.5000 0.5000 0.0000
Sm1 0.0000 0.0000 0.5000
Sm2 0.0000 0.5000 0.0000
Sm3 0.5000 0.0000 0.0000
Si1 0.5000 0.5000 0.5000
S1 0.2518 0.2518 0.2518
S2 0.2815 0.2815 0.7077
S3 0.2815 0.7077 0.2815
S4 0.2923 0.7185 0.7185
S5 0.7077 0.2815 0.2815
S6 0.7185 0.2923 0.7185
S7 0.7185 0.7185 0.2923
S8 0.7482 0.7482 0.7482

=====

Compound: Li2SmSiS4
Source: Alexandria via LeMat-Bulk
Functional: PBE
Structure: relaxed

Calculated values
- space group = Imma (74)
- E_tot (eV per atom) = -4.973

a = 7.5698 Å, b = 7.5698 Å, c = 7.5698 Å
α = 122.52°, β = 118.05°, γ = 89.55°
Element x y z (fractional)
Li1 0.0000 0.0000 0.0000
Li2 0.5000 0.0000 0.0000
Li3 0.5000 0.0000 0.5000
Li4 0.5000 0.5000 0.5000
Sm1 0.0000 0.5000 0.5000
Sm2 0.5000 0.5000 0.0000
Si1 0.0000 0.0000 0.5000
Si2 0.0000 0.5000 0.0000
S1 0.2154 0.2440 0.9714
S2 0.2274 0.7560 0.4714
S3 0.2325 0.2190 0.4865
S4 0.2325 0.7459 0.0135
S5 0.7675 0.2541 0.9865
S6 0.7675 0.7810 0.5135
S7 0.7726 0.2440 0.5286
S8 0.7846 0.7560 0.0286

=====

Compound: Li3Tb3SiS8
Source: Alexandria via LeMat-Bulk
Functional: PBE
Structure: relaxed

Calculated values
- space group = R-3m (166)
- E_tot (eV per atom) = -5.396

a = 7.5615 Å, b = 7.5615 Å, c = 7.5615 Å
α = 61.39°, β = 61.39°, γ = 61.39°
Element x y z (fractional)
Li1 0.0000 0.5000 0.5000
Li2 0.5000 0.0000 0.5000
Li3 0.5000 0.5000 0.0000
Tb1 0.0000 0.0000 0.5000
Tb2 0.0000 0.5000 0.0000
Tb3 0.5000 0.0000 0.0000
Si1 0.5000 0.5000 0.5000
S1 0.2506 0.2506 0.2506
S2 0.2794 0.2794 0.7126
S3 0.2794 0.7126 0.2794
S4 0.2874 0.7206 0.7206
S5 0.7126 0.2794 0.2794
S6 0.7206 0.2874 0.7206
S7 0.7206 0.7206 0.2874
S8 0.7494 0.7494 0.7494

=====

Compound: LiTbSi2S6
Source: Alexandria via LeMat-Bulk
Functional: PBE
Structure: relaxed

Calculated values
- space group = C2/c (15)
- E_tot (eV per atom) = -5.278

a = 8.4769 Å, b = 8.4769 Å, c = 6.3224 Å
α = 99.91°, β = 99.91°, γ = 86.90°
Element x y z (fractional)
Li1 0.2031 0.7969 0.7500
Li2 0.7969 0.2031 0.2500
Tb1 0.3818 0.6182 0.2500
Tb2 0.6182 0.3818 0.7500
Si1 0.1229 0.2827 0.7717
Si2 0.2827 0.1229 0.2717
Si3 0.7173 0.8771 0.7283
Si4 0.8771 0.7173 0.2283
S1 0.0738 0.2089 0.0671
S2 0.0974 0.6362 0.3854
S3 0.2089 0.0738 0.5671
S4 0.2968 0.4664 0.8305
S5 0.3638 0.9026 0.1146
S6 0.4664 0.2968 0.3305
S7 0.5336 0.7032 0.6695
S8 0.6362 0.0974 0.8854
S9 0.7032 0.5336 0.1695
S10 0.7911 0.9262 0.4329
S11 0.9026 0.3638 0.6146
S12 0.9262 0.7911 0.9329

=====

Compound: Li4Ti3SiS8
Source: Alexandria via LeMat-Bulk
Functional: PBE
Structure: relaxed

Calculated values
- space group = R-3m (166)
- E_tot (eV per atom) = -5.595

a = 7.2570 Å, b = 7.2570 Å, c = 7.2570 Å
α = 58.24°, β = 58.24°, γ = 58.24°
Element x y z (fractional)
Li1 0.0000 0.0000 0.0000
Li2 0.0000 0.5000 0.5000
Li3 0.5000 0.0000 0.5000
Li4 0.5000 0.5000 0.0000
Ti1 0.0000 0.0000 0.5000
Ti2 0.0000 0.5000 0.0000
Ti3 0.5000 0.0000 0.0000
Si1 0.5000 0.5000 0.5000
S1 0.2463 0.2463 0.2463
S2 0.2495 0.7387 0.7387
S3 0.2613 0.2613 0.7505
S4 0.2613 0.7505 0.2613
S5 0.7387 0.2495 0.7387
S6 0.7387 0.7387 0.2495
S7 0.7505 0.2613 0.2613
S8 0.7537 0.7537 0.7537

=====

Compound: LiTl2SiS4
Source: Alexandria via LeMat-Bulk
Functional: PBE
Structure: relaxed

Calculated values
- space group = I-4 (82)
- E_tot (eV per atom) = -4.192

a = 6.4216 Å, b = 6.4216 Å, c = 6.4216 Å
α = 115.41°, β = 115.41°, γ = 98.14°
Element x y z (fractional)
Li1 0.0000 0.0000 0.0000
Tl1 0.2500 0.7500 0.5000
Tl2 0.5000 0.5000 0.0000
Si1 0.7500 0.2500 0.5000
S1 0.0486 0.5950 0.8673
S2 0.4050 0.2722 0.4536
S3 0.7278 0.1813 0.1327
S4 0.8187 0.9514 0.5464